No. 1
DFT (GGA-PBE) results for a relaxed EuAgSn2 crystal.

Summary:
Total energy ... -5.663 eV/atom
Calculated formation energy ... -1.52 eV per formula unit
N(E_F) ... 5.02 states/eV/cell

Cell: 4.682 4.682 4.584 Å, 90.00 90.00 90.00°
Space group P4/mmm (No. 123)
Asymmetric unit:
Eu 0.000 0.000 0.000 (multiplicity 1)
Ag 0.500 0.500 0.000 (multiplicity 1)
Sn 0.000 0.500 0.500 (multiplicity 2)

=====

No. 2
DFT (GGA-PBE) results for a relaxed SbAuBr4 crystal.

Summary:
Formation energy from raw total energies ... -0.3312 eV/atom
Total energy ... -2.680 eV/atom
Relative energy among the computed polymorphs ... 87 meV per atom

Cell: 8.850 7.485 6.891 Å, 90.00 90.00 90.00°
Space group Pmn2_1 (No. 31)
Asymmetric unit:
Sb 0.000 0.041 0.000 (multiplicity 2)
Au 0.000 0.542 0.534 (multiplicity 2)
Br 0.000 0.377 0.228 (multiplicity 2)
Br 0.000 0.695 0.849 (multiplicity 2)
Br 0.215 0.168 0.794 (multiplicity 4)

=====

No. 3
DFT (GGA-PBE) results for a relaxed PrTlNiAg crystal.

Summary:
Total energy ... -4.047 eV/atom
Calculated formation energy ... -0.41 eV per formula unit
N(E_F) ... 15.60 states/eV/cell

Cell: 7.017 7.017 7.017 Å, 90.00 90.00 90.00°
Space group F-43m (No. 216)
Asymmetric unit:
Pr 0.000 0.000 0.000 (multiplicity 4)
Tl 0.000 0.000 0.500 (multiplicity 4)
Ni 0.250 0.250 0.750 (multiplicity 4)
Ag 0.250 0.250 0.250 (multiplicity 4)

=====

No. 4
DFT (GGA-PBE) results for a relaxed ThH6Rh3 crystal.

Summary:
Total energy ... -5.300 eV/atom
N(E_F) ... 1.89 states/eV/cell

Cell: 4.999 5.010 5.057 Å, 119.55 119.62 90.10°
Space group P1 (No. 1)
Asymmetric unit:
Th 0.000 0.000 0.000 (multiplicity 1)
H 0.088 0.506 0.000 (multiplicity 1)
H 0.130 0.113 0.605 (multiplicity 1)
H 0.491 0.476 0.602 (multiplicity 1)
H 0.495 0.908 0.000 (multiplicity 1)
H 0.525 0.921 0.446 (multiplicity 1)
H 0.856 0.506 0.363 (multiplicity 1)
Rh 0.252 0.744 0.498 (multiplicity 1)
Rh 0.487 0.508 0.994 (multiplicity 1)
Rh 0.754 0.246 0.499 (multiplicity 1)

=====

No. 5
DFT (GGA-PBE) results for a relaxed K3TmTh3Te8 crystal.

Summary:
Formation energy from raw total energies ... -1.2309 eV/atom
Total energy ... -4.908 eV/atom
N(E_F) ... 26.88 states/eV/cell

Cell: 8.8958 8.8958 25.6882 Å, 90.00 90.00 120.00°
Space group R-3m (No. 166, hexagonal axes)
Asymmetric unit:
K 0.0000 0.5000 0.0000 (multiplicity 9)
Tm 0.0000 0.0000 0.5000 (multiplicity 3)
Th 0.0000 0.5000 0.5000 (multiplicity 9)
Te 0.0000 0.0000 0.2403 (multiplicity 6)
Te 0.0066 0.5033 0.2369 (multiplicity 18)

=====

No. 6
DFT (GGA-PBE) results for a relaxed FeHgAs crystal.

Summary:
Total energy ... -4.265 eV/atom
Relative energy among the computed polymorphs ... 0 meV per atom
Calculated formation energy ... 0.62 eV per formula unit
N(E_F) ... 2.82 states/eV/cell

Cell: 3.1008 3.1008 6.5392 Å, 90.00 90.00 120.00°
Space group P3m1 (No. 156)
Asymmetric unit:
Fe 0.0000 0.0000 0.0000 (multiplicity 1)
Hg 0.3333 0.6667 0.3308 (multiplicity 1)
As 0.6667 0.3333 0.7675 (multiplicity 1)

=====

No. 7
DFT (GGA-PBE) results for a relaxed DyYGaCu crystal.

Summary:
Total energy ... -4.972 eV/atom
Calculated formation energy ... -1.70 eV per formula unit
N(E_F) ... 13.02 states/eV/cell

Cell: 7.083 7.083 7.083 Å, 90.00 90.00 90.00°
Space group F-43m (No. 216)
Asymmetric unit:
Dy 0.000 0.000 0.000 (multiplicity 4)
Y 0.000 0.000 0.500 (multiplicity 4)
Ga 0.250 0.250 0.750 (multiplicity 4)
Cu 0.250 0.250 0.250 (multiplicity 4)

=====

No. 8
DFT (GGA-PBE) results for a relaxed TaHgAs2H crystal.

Summary:
Total energy ... -4.249 eV/atom
N(E_F) ... 3.70 states/eV/cell

Cell: 4.121 4.121 4.796 Å, 90.00 90.00 90.00°
Space group P4/mmm (No. 123)
Asymmetric unit:
Ta 0.000 0.000 0.000 (multiplicity 1)
Hg 0.500 0.500 0.000 (multiplicity 1)
As 0.000 0.500 0.500 (multiplicity 2)
H 0.500 0.500 0.500 (multiplicity 1)

=====

Which value of total energy does entry 2 give?
-2.680 eV/atom